No. 1
Here is a relaxed LaMo4Cl crystal from Alexandria. Energies are from GGA-PBE.

Properties
Fermi-level density of states: 1.32 states/eV/atom
Raw formation energy: 70.35 kJ per mole of atoms

a b c (Å): 7.790 7.790 7.790
angles (deg): 90.00 90.00 90.00
Space group F-43m (No. 216)
Asymmetric unit:
La (0.000, 0.000, 0.000) x4
Mo (0.125, 0.125, 0.625) x16
Cl (0.250, 0.250, 0.250) x4

No. 2
Here is a relaxed Cs3Pm3GaTe8 crystal from Alexandria. Energies are from GGA-PBE.

Properties
Fermi-level density of states: 0.79 states/eV/atom
Raw formation energy: -102.75 kJ per mole of atoms

a b c (Å): 15.529 8.977 10.614
angles (deg): 90.00 119.21 90.00
Space group C2/m (No. 12)
Asymmetric unit:
Cs (0.000, 0.000, 0.000) x2
Cs (0.250, 0.250, 0.000) x4
Pm (0.000, 0.500, 0.500) x2
Pm (0.250, 0.250, 0.500) x4
Ga (0.000, 0.000, 0.500) x2
Te (0.017, 0.235, 0.317) x8
Te (0.215, 0.000, 0.681) x4
Te (0.232, 0.500, 0.696) x4

No. 3
Here is a relaxed Ce2TiAl3 crystal from Alexandria. Energies are from GGA-PBE.

Properties
Fermi-level density of states: 1.66 states/eV/atom
Energy: -0.407 Ry/atom

a b c (Å): 5.6109 5.6109 13.8932
angles (deg): 90.00 90.00 120.00
Space group R-3m (No. 166, hexagonal axes)
Asymmetric unit:
Ce (0.0000, 0.0000, 0.1298) x6
Ti (0.0000, 0.0000, 0.5000) x3
Al (0.0000, 0.5000, 0.0000) x9

No. 4
Here is a relaxed SrEr2NbN4 crystal from Alexandria. Energies are from GGA-PBE.

Properties
Fermi-level density of states: 0.39 states/eV/atom
Raw formation energy: -120.86 kJ per mole of atoms

a b c (Å): 3.446 12.103 12.106
angles (deg): 90.00 90.00 90.00
Space group Cmcm (No. 63)
Asymmetric unit:
Sr (0.000, 0.099, 0.250) x4
Er (0.000, 0.371, 0.034) x8
Nb (0.000, 0.166, 0.750) x4
N (0.000, 0.000, 0.000) x4
N (0.000, 0.257, 0.617) x8
N (0.000, 0.427, 0.250) x4

No. 5
Here is a relaxed ZnAs3Os crystal from Alexandria. Energies are from GGA-PBE.

Properties
Fermi-level density of states: 0.89 states/eV/atom
Polymorph energy (0 for the lowest one): 0.0 meV per atom

a b c (Å): 4.839 4.839 4.839
angles (deg): 90.00 90.00 90.00
Space group Pm-3m (No. 221)
Asymmetric unit:
Zn (0.000, 0.000, 0.000) x1
As (0.000, 0.500, 0.500) x3
Os (0.500, 0.500, 0.500) x1

No. 6
Here is a relaxed BeCdSb crystal from Alexandria. Energies are from GGA-PBE.

Properties
Fermi-level density of states: 0.34 states/eV/atom
Polymorph energy (0 for the lowest one): 263.6 meV per atom
Raw formation energy: 44.07 kJ per mole of atoms

a b c (Å): 4.832 3.240 5.853
angles (deg): 90.00 112.68 90.00
Space group Pm (No. 6)
Asymmetric unit:
Be (0.000, 0.000, 0.000) x1
Cd (0.187, 0.500, 0.362) x1
Sb (0.826, 0.500, 0.661) x1